First-principles (GGA-PBE) data for an optimized crystal structure of TlReRh2, as listed in Alexandria.

Summary:
The magnetization is 0.0 Bohr magnetons per cell. The calculation puts the offset from the most stable computed form at 302 meV/atom. For the total energy, the calculation gives -27.99 eV/cell.

Cell lengths 4.763, 4.763, 5.076 Å; angles 82.23, 82.23, 34.92 degrees
Fractional coordinates of all 4 atoms:
Re1 0.500 0.500 0.000
Rh1 0.245 0.245 0.776
Rh2 0.755 0.755 0.224
Tl1 0.000 0.000 0.500


First-principles (GGA-PBE) data for an optimized crystal structure of SiAsRu, as listed in Alexandria.

Summary:
The magnetization is 0.0 Bohr magnetons per cell. The calculation puts the offset from the most stable computed form at 125 meV/atom. For the total energy, the calculation gives -19.71 eV/cell. The formation energy without anion corrections is -12 kJ/mol of atoms.

Cell lengths 4.123, 4.123, 4.123 Å; angles 60.00, 60.00, 60.00 degrees
Fractional coordinates of all 3 atoms:
As1 0.500 0.500 0.500
Ru1 0.250 0.250 0.250
Si1 0.000 0.000 0.000


First-principles (GGA-PBE) data for an optimized crystal structure of RbSb4Pd, as listed in Alexandria.

Summary:
The magnetization is 0.0 Bohr magnetons per cell. For the total energy, the calculation gives -47.14 eV/cell. The formation energy without anion corrections is -15 kJ/mol of atoms.

Cell lengths 8.081, 8.081, 8.363 Å; angles 61.11, 61.11, 90.00 degrees
Fractional coordinates of all 12 atoms:
Sb1 0.335 0.029 0.146
Sb2 0.529 0.519 0.646
Sb3 0.019 0.825 0.146
Sb4 0.325 0.835 0.646
Sb5 0.675 0.165 0.354
Sb6 0.471 0.481 0.354
Sb7 0.981 0.175 0.854
Sb8 0.665 0.971 0.854
Rb1 0.125 0.375 0.250
Rb2 0.875 0.625 0.750
Pd1 0.375 0.125 0.750
Pd2 0.625 0.875 0.250


First-principles (GGA-PBE) data for an optimized crystal structure of PrThRhI, as listed in Alexandria.

Summary:
The magnetization is 0.0 Bohr magnetons per cell. For the total energy, the calculation gives -24.65 eV/cell. The formation energy without anion corrections is -86 kJ/mol of atoms.

Cell lengths 4.203, 4.203, 8.614 Å; angles 90.00, 104.12, 119.99 degrees
Fractional coordinates of all 4 atoms:
Th1 0.088 0.942 0.045
Rh1 0.312 0.554 0.881
Pr1 0.511 0.154 0.680
I1 0.967 0.382 0.363


magnetization of number 2 (SiAsRu)?
0.0 Bohr magnetons per cell